Dy2MgGa2Ni5 | Alexandria via LeMat-Bulk | PBE-GGA | relaxed; raw total energy = -4.9227 eV per atom; energy of formation from the pure elements = -0.35 eV per atom; space-group type = P4/mbm; Fermi-level density of states = 0.709 states/eV per atom
1.0
9.532 0.000 0.000
0.000 9.532 0.000
0.000 0.000 3.538
Dy Mg Ga Ni
4 2 4 10
direct
0.179 0.321 0.000 Dy
0.321 0.821 0.000 Dy
0.679 0.179 0.000 Dy
0.821 0.679 0.000 Dy
0.000 0.000 0.000 Mg
0.500 0.500 0.000 Mg
0.118 0.618 0.000 Ga
0.382 0.118 0.000 Ga
0.618 0.882 0.000 Ga
0.882 0.382 0.000 Ga
0.000 0.500 0.500 Ni
0.062 0.784 0.500 Ni
0.216 0.062 0.500 Ni
0.284 0.562 0.500 Ni
0.438 0.284 0.500 Ni
0.500 0.000 0.500 Ni
0.562 0.716 0.500 Ni
0.716 0.438 0.500 Ni
0.784 0.938 0.500 Ni
0.938 0.216 0.500 Ni